Below is a relaxed Tl3Hg3Pb crystal, with properties calculated at the PBE level.

Values from the calculation:
As for the formation energy: 37 meV per atom. The total energy is -1.64 eV per atom. As for the volume: 29.3 A^3/atom.

```
data_Tl3Hg3Pb
_cell_length_a 9.7327
_cell_length_b 9.7327
_cell_length_c 5.0034
_cell_angle_alpha 90.00
_cell_angle_beta 90.00
_cell_angle_gamma 120.00
_space_group_name_H-M_alt 'P 63/m'
_space_group_IT_number 176
_space_group_name_Hall '-P 6c'
loop_
_atom_site_label
_atom_site_fract_x
_atom_site_fract_y
_atom_site_fract_z
_atom_site_occupancy
Tl1 0.0137 0.2406 0.2500 1
Hg1 0.0908 0.4779 0.7500 1
Pb1 0.3333 0.6667 0.2500 1
```

Below is a relaxed Ca2TeP2 crystal, with properties calculated at the PBE level.

Values from the calculation:
The total energy is -4.35 eV per atom. As for the volume: 25.4 A^3/atom.

```
data_Ca2TeP2
_cell_length_a 5.607
_cell_length_b 5.607
_cell_length_c 8.077
_cell_angle_alpha 90.00
_cell_angle_beta 90.00
_cell_angle_gamma 90.00
_space_group_name_H-M_alt 'I 4/m m m'
_space_group_IT_number 139
_space_group_name_Hall '-I 4 2'
loop_
_atom_site_label
_atom_site_fract_x
_atom_site_fract_y
_atom_site_fract_z
_atom_site_occupancy
Ca1 0.000 0.500 0.250 1
Te1 0.000 0.000 0.000 1
P1 0.000 0.000 0.361 1
```

Below is a relaxed Cr2SiPAu crystal, with properties calculated at the PBE level.

Values from the calculation:
The total energy is -6.58 eV per atom. As for the volume: 14.4 A^3/atom.

```
data_Cr2SiPAu
_cell_length_a 3.541
_cell_length_b 4.600
_cell_length_c 4.851
_cell_angle_alpha 65.79
_cell_angle_beta 89.67
_cell_angle_gamma 89.66
_space_group_name_H-M_alt 'P -1'
_space_group_IT_number 2
_space_group_name_Hall '-P 1'
loop_
_atom_site_label
_atom_site_fract_x
_atom_site_fract_y
_atom_site_fract_z
_atom_site_occupancy
Cr1 0.001 0.157 0.135 1
Si1 0.500 0.000 0.500 1
P1 0.500 0.500 0.000 1
Au1 0.000 0.500 0.500 1
```

Below is a relaxed Mg3AgAu4 crystal, with properties calculated at the PBE level.

Values from the calculation:
As for the formation energy: -475 meV per atom. The total energy is -3.07 eV per atom. As for the volume: 18.0 A^3/atom.

```
data_Mg3AgAu4
_cell_length_a 9.621
_cell_length_b 6.182
_cell_length_c 4.836
_cell_angle_alpha 90.00
_cell_angle_beta 90.00
_cell_angle_gamma 90.00
_space_group_name_H-M_alt 'P m m a'
_space_group_IT_number 51
_space_group_name_Hall '-P 2a 2a'
loop_
_atom_site_label
_atom_site_fract_x
_atom_site_fract_y
_atom_site_fract_z
_atom_site_occupancy
Mg1 0.000 0.000 0.000 1
Mg2 0.250 0.000 0.465 1
Mg3 0.250 0.500 0.460 1
Ag1 0.000 0.500 0.000 1
Au1 0.000 0.245 0.500 1
Au2 0.250 0.245 0.961 1
```

Number 1: D(E_F) 0.543 states/eV/atom. Number 2: D(E_F) 0.950 states/eV/atom. Number 3: D(E_F) 0.825 states/eV/atom. Number 4: D(E_F) 0.193 states/eV/atom.